Record 1
A relaxed Tc2AgSb crystal. Source: Alexandria, functional PBE.

The structure in CIF format:
```
data_Tc2AgSb
_chemical_formula_sum 'Tc6 Ag3 Sb3'
_cell_length_a 3.0134
_cell_length_b 3.0134
_cell_length_c 26.3352
_cell_angle_alpha 90.00
_cell_angle_beta 90.00
_cell_angle_gamma 120.00
_symmetry_space_group_name_H-M 'R -3 m'
_symmetry_Int_Tables_number 166
_symmetry_space_group_name_Hall '-R 3 2"'
loop_
_atom_site_label
_atom_site_fract_x
_atom_site_fract_y
_atom_site_fract_z
_atom_site_occupancy
Tc1 0.0000 0.0000 0.2458 1
Ag1 0.0000 0.0000 0.0000 1
Sb1 0.0000 0.0000 0.5000 1
```

Energy relative to the elements, uncorrected (eV/atom): 0.561
Calculated density (g cm⁻³): 10.2
Crystal system: trigonal

=====

Record 2
A relaxed MgScAlZn crystal. Source: Alexandria, functional PBE.

The structure in CIF format:
```
data_MgScAlZn
_chemical_formula_sum 'Mg1 Sc1 Al1 Zn1'
_cell_length_a 3.866
_cell_length_b 4.351
_cell_length_c 4.438
_cell_angle_alpha 90.00
_cell_angle_beta 90.00
_cell_angle_gamma 90.00
_symmetry_space_group_name_H-M 'P m m m'
_symmetry_Int_Tables_number 47
loop_
_symmetry_equiv_pos_as_xyz
'x,y,z'
'-x,-y,-z'
'-x,-y,z'
'x,y,-z'
'x,-y,-z'
'-x,y,z'
'-x,y,-z'
'x,-y,z'
loop_
_atom_site_label
_atom_site_fract_x
_atom_site_fract_y
_atom_site_fract_z
_atom_site_occupancy
Mg1 0.000 0.000 0.000 1
Sc1 0.000 0.500 0.500 1
Al1 0.500 0.000 0.500 1
Zn1 0.500 0.500 0.000 1
```

Electronic total energy (Ry per atom): -0.25887
Calculated density (g cm⁻³): 3.6
Crystal system: orthorhombic

=====

Record 3
A relaxed YMg9Cu2 crystal. Source: Alexandria, functional PBE.

The structure in CIF format:
```
data_YMg9Cu2
_chemical_formula_sum 'Y2 Mg18 Cu4'
_cell_length_a 9.987
_cell_length_b 5.762
_cell_length_c 10.848
_cell_angle_alpha 90.00
_cell_angle_beta 107.68
_cell_angle_gamma 90.00
_symmetry_space_group_name_H-M 'C 1 2/m 1'
_symmetry_Int_Tables_number 12
loop_
_symmetry_equiv_pos_as_xyz
'x,y,z'
'-x,-y,-z'
'-x,y,-z'
'x,-y,z'
'x+1/2,y+1/2,z'
'-x+1/2,-y+1/2,-z'
'-x+1/2,y+1/2,-z'
'x+1/2,-y+1/2,z'
loop_
_atom_site_label
_atom_site_fract_x
_atom_site_fract_y
_atom_site_fract_z
_atom_site_occupancy
Y1 0.000 0.000 0.000 1
Mg1 0.000 0.500 0.500 1
Mg2 0.084 0.500 0.251 1
Mg3 0.167 0.249 0.748 1
Mg4 0.167 0.500 0.000 1
Cu1 0.092 0.000 0.279 1
```

Electronic total energy (Ry per atom): -0.16568
Calculated density (g cm⁻³): 2.4
Crystal system: monoclinic

=====

Record 4
A relaxed DyPaTeC crystal. Source: Alexandria, functional PBE.

The structure in CIF format:
```
data_DyPaTeC
_chemical_formula_sum 'Dy3 Pa3 Te3 C3'
_cell_length_a 3.7938
_cell_length_b 3.7938
_cell_length_c 21.3465
_cell_angle_alpha 90.00
_cell_angle_beta 90.00
_cell_angle_gamma 120.00
_symmetry_space_group_name_H-M 'R 3 m'
_symmetry_Int_Tables_number 160
_symmetry_space_group_name_Hall 'R 3 -2"'
loop_
_atom_site_label
_atom_site_fract_x
_atom_site_fract_y
_atom_site_fract_z
_atom_site_occupancy
Dy1 0.0000 0.0000 0.0000 1
Pa1 0.0000 0.0000 0.7884 1
Te1 0.0000 0.0000 0.2280 1
C1 0.0000 0.0000 0.4030 1
```

Energy relative to the elements, uncorrected (eV/atom): -0.772
Calculated density (g cm⁻³): 10.0
Crystal system: trigonal

=====

Record 5
A relaxed LaHgIr2 crystal. Source: Alexandria, functional PBE.

The structure in CIF format:
```
data_LaHgIr2
_chemical_formula_sum 'La2 Hg2 Ir4'
_cell_length_a 8.248
_cell_length_b 4.764
_cell_length_c 5.622
_cell_angle_alpha 90.00
_cell_angle_beta 119.13
_cell_angle_gamma 90.00
_symmetry_space_group_name_H-M 'C 1 2/m 1'
_symmetry_Int_Tables_number 12
loop_
_symmetry_equiv_pos_as_xyz
'x,y,z'
'-x,-y,-z'
'-x,y,-z'
'x,-y,z'
'x+1/2,y+1/2,z'
'-x+1/2,-y+1/2,-z'
'-x+1/2,y+1/2,-z'
'x+1/2,-y+1/2,z'
loop_
_atom_site_label
_atom_site_fract_x
_atom_site_fract_y
_atom_site_fract_z
_atom_site_occupancy
La1 0.000 0.000 0.000 1
Hg1 0.000 0.500 0.500 1
Ir1 0.178 0.000 0.535 1
```

Electronic total energy (Ry per atom): -0.43709
Calculated density (g cm⁻³): 12.5
Crystal system: monoclinic

=====

Record 6
A relaxed In3Ga12Sn5 crystal. Source: Alexandria, functional PBE.

The structure in CIF format:
```
data_In3Ga12Sn5
_chemical_formula_sum 'In24 Ga96 Sn40'
_cell_length_a 16.211
_cell_length_b 16.211
_cell_length_c 16.211
_cell_angle_alpha 90.00
_cell_angle_beta 90.00
_cell_angle_gamma 90.00
_symmetry_space_group_name_H-M 'I a -3 d'
_symmetry_Int_Tables_number 230
_symmetry_space_group_name_Hall '-I 4bd 2c 3'
loop_
_atom_site_label
_atom_site_fract_x
_atom_site_fract_y
_atom_site_fract_z
_atom_site_occupancy
In1 0.000 0.250 0.125 1
Ga1 0.015 0.082 0.654 1
Sn1 0.000 0.000 0.000 1
Sn2 0.000 0.250 0.375 1
```

Electronic total energy (Ry per atom): -0.22563
Calculated density (g cm⁻³): 5.5
Crystal system: cubic

=====

Record 7
A relaxed Y2Ga2Sn crystal. Source: Alexandria, functional PBE.

The structure in CIF format:
```
data_Y2Ga2Sn
_chemical_formula_sum 'Y4 Ga4 Sn2'
_cell_length_a 4.082
_cell_length_b 13.972
_cell_length_c 4.141
_cell_angle_alpha 90.00
_cell_angle_beta 90.00
_cell_angle_gamma 90.00
_symmetry_space_group_name_H-M 'C m m m'
_symmetry_Int_Tables_number 65
_symmetry_space_group_name_Hall '-C 2 2'
loop_
_atom_site_label
_atom_site_fract_x
_atom_site_fract_y
_atom_site_fract_z
_atom_site_occupancy
Y1 0.000 0.131 0.000 1
Ga1 0.000 0.299 0.500 1
Sn1 0.000 0.500 0.500 1
```

Electronic total energy (Ry per atom): -0.38518
Calculated density (g cm⁻³): 6.1
Crystal system: orthorhombic

=====

Record 8
A relaxed SrSmCl5 crystal. Source: Alexandria, functional PBE.

The structure in CIF format:
```
data_SrSmCl5
_chemical_formula_sum 'Sr4 Sm4 Cl20'
_cell_length_a 7.217
_cell_length_b 13.695
_cell_length_c 10.182
_cell_angle_alpha 90.00
_cell_angle_beta 109.48
_cell_angle_gamma 90.00
_symmetry_space_group_name_H-M 'P 1 21/c 1'
_symmetry_Int_Tables_number 14
loop_
_symmetry_equiv_pos_as_xyz
'x,y,z'
'-x,-y,-z'
'-x,y+1/2,-z+1/2'
'x,-y+1/2,z+1/2'
loop_
_atom_site_label
_atom_site_fract_x
_atom_site_fract_y
_atom_site_fract_z
_atom_site_occupancy
Sr1 0.034 0.019 0.256 1
Sm1 0.395 0.243 0.603 1
Cl1 0.077 0.118 0.554 1
Cl2 0.144 0.105 0.993 1
Cl3 0.287 0.651 0.365 1
Cl4 0.348 0.181 0.338 1
Cl5 0.390 0.589 0.784 1
```

Energy relative to the elements, uncorrected (eV/atom): -2.322
Calculated density (g cm⁻³): 2.9
Crystal system: monoclinic

=====

Record 9
A relaxed TiSn2S crystal. Source: Alexandria, functional PBE.

The structure in CIF format:
```
data_TiSn2S
_chemical_formula_sum 'Ti4 Sn8 S4'
_cell_length_a 7.814
_cell_length_b 7.814
_cell_length_c 5.843
_cell_angle_alpha 90.00
_cell_angle_beta 90.00
_cell_angle_gamma 90.00
_symmetry_space_group_name_H-M 'I -4 2 d'
_symmetry_Int_Tables_number 122
_symmetry_space_group_name_Hall 'I -4 2bw'
loop_
_atom_site_label
_atom_site_fract_x
_atom_site_fract_y
_atom_site_fract_z
_atom_site_occupancy
Ti1 0.000 0.000 0.000 1
Sn1 0.248 0.750 0.625 1
S1 0.000 0.000 0.500 1
```

Energy relative to the elements, uncorrected (eV/atom): 0.183
Calculated density (g cm⁻³): 5.9
Crystal system: tetragonal

=====

Record 10
A relaxed Na2NpPbS4 crystal. Source: Alexandria, functional PBE.

The structure in CIF format:
```
data_Na2NpPbS4
_chemical_formula_sum 'Na2 Np1 Pb1 S4'
_cell_length_a 7.029
_cell_length_b 4.082
_cell_length_c 7.233
_cell_angle_alpha 90.00
_cell_angle_beta 109.58
_cell_angle_gamma 90.00
_symmetry_space_group_name_H-M 'P 1 2/m 1'
_symmetry_Int_Tables_number 10
loop_
_symmetry_equiv_pos_as_xyz
'x,y,z'
'-x,-y,-z'
'-x,y,-z'
'x,-y,z'
loop_
_atom_site_label
_atom_site_fract_x
_atom_site_fract_y
_atom_site_fract_z
_atom_site_occupancy
Na1 0.000 0.000 0.000 1
Na2 0.000 0.500 0.500 1
Np1 0.500 0.000 0.500 1
Pb1 0.500 0.500 0.000 1
S1 0.268 0.000 0.725 1
S2 0.273 0.500 0.276 1
```

Energy relative to the elements, uncorrected (eV/atom): -1.098
Calculated density (g cm⁻³): 5.3
Crystal system: monoclinic